(1)
Here is crystalline NaMgAgSb at its relaxed geometry from the Alexandria database. Energies are from PBE-GGA.

Cell lengths 7.132, 7.132, 7.132 Å; angles 90.00, 90.00, 90.00 degrees
Space group F-43m (No. 216)
Asymmetric unit:
Na1 0.000 0.000 0.000 [4 per cell]
Mg1 0.000 0.000 0.500 [4 per cell]
Ag1 0.250 0.250 0.750 [4 per cell]
Sb1 0.250 0.250 0.250 [4 per cell]

## Properties
E (eV/atom): -2.6441

(2)
Here is crystalline Tb2ZnGe2Ir5 at its relaxed geometry from the Alexandria database. Energies are from PBE-GGA.

Cell lengths 9.721, 9.721, 3.607 Å; angles 90.00, 90.00, 90.00 degrees
Space group P4/mbm (No. 127)
Asymmetric unit:
Tb1 0.173 0.327 0.000 [4 per cell]
Zn1 0.000 0.000 0.000 [2 per cell]
Ge1 0.127 0.627 0.000 [4 per cell]
Ir1 0.000 0.500 0.500 [2 per cell]
Ir2 0.064 0.795 0.500 [8 per cell]

## Properties
Energy relative to the elements (meV/atom): -571

(3)
Here is crystalline BeAlAg2 at its relaxed geometry from the Alexandria database. Energies are from PBE-GGA.

Cell lengths 3.007, 4.410, 8.913 Å; angles 90.00, 90.00, 90.00 degrees
Space group Imm2 (No. 44)
Asymmetric unit:
Be1 0.000 0.000 0.000 [2 per cell]
Al1 0.000 0.500 0.271 [2 per cell]
Ag1 0.000 0.000 0.500 [2 per cell]
Ag2 0.000 0.500 0.722 [2 per cell]

## Properties
Energy relative to the elements (meV/atom): 86
Energy above the most stable polymorph in this dataset (meV per atom): 20

(4)
Here is crystalline Th7Tc2Ni2 at its relaxed geometry from the Alexandria database. Energies are from PBE-GGA.

Cell lengths 3.876, 15.265, 9.516 Å; angles 90.00, 90.00, 90.00 degrees
Space group Imm2 (No. 44)
Asymmetric unit:
Th1 0.000 0.000 0.000 [2 per cell]
Th2 0.000 0.114 0.377 [4 per cell]
Th3 0.000 0.309 0.590 [4 per cell]
Th4 0.000 0.378 0.228 [4 per cell]
Tc1 0.000 0.000 0.640 [2 per cell]
Tc2 0.000 0.500 0.719 [2 per cell]
Ni1 0.000 0.235 0.889 [4 per cell]

## Properties
Energy relative to the elements (meV/atom): -174

(5)
Here is crystalline PaReGe2 at its relaxed geometry from the Alexandria database. Energies are from PBE-GGA.

Cell lengths 3.210, 3.210, 6.994 Å; angles 90.00, 90.00, 90.00 degrees
Space group P4/mmm (No. 123)
Asymmetric unit:
Pa1 0.000 0.000 0.000 [1 per cell]
Re1 0.000 0.000 0.500 [1 per cell]
Ge1 0.500 0.500 0.295 [2 per cell]

## Properties
Energy relative to the elements (meV/atom): -5

(6)
Here is crystalline CeEr2Si6 at its relaxed geometry from the Alexandria database. Energies are from PBE-GGA.

Cell lengths 7.0589, 7.0589, 3.9593 Å; angles 90.00, 90.00, 120.00 degrees
Space group P6/mmm (No. 191)
Asymmetric unit:
Ce1 0.0000 0.0000 0.0000 [1 per cell]
Er1 0.3333 0.6667 0.0000 [2 per cell]
Si1 0.0000 0.3347 0.5000 [6 per cell]

## Properties
E (eV/atom): -5.8574

Ordered total moment results: 0.0, 0.0, 0.0, 0.0, 0.8, 0.0; unit μB per formula unit.
Ordered Fermi-level density of states results: 2.21, 1.45, 0.81, 11.38, 5.46, 4.81; unit states/eV/f.u..